Record 1
LaAgOF2: optimized geometry, PBE.

Cell: 4.700 4.700 4.617 Å, 90.00 90.00 90.00°
Space group P4/mmm (No. 123)
Asymmetric unit:
La: 0.000 0.000 0.000 [1 per cell]
Ag: 0.500 0.500 0.500 [1 per cell]
O: 0.000 0.000 0.500 [1 per cell]
F: 0.000 0.500 0.000 [2 per cell]

Calculated values
The calculation puts the energy relative to the elements, uncorrected at -2.41 eV/atom. Its crystal system is tetragonal. The magnetization comes out at 0.01 Bohr magnetons per cell. For the total energy, the calculation gives -28.54 eV for the cell shown. The density of states at the Fermi level is 0.1589 states/eV per atom. Its offset from the most stable computed form is 0 meV/atom.

---

Record 2
LaAgOF2: optimized geometry, PBE.

Cell: 4.380 4.380 4.311 Å, 90.00 90.00 90.00°
Space group P4/mmm (No. 123)
Asymmetric unit:
La: 0.000 0.000 0.000 [1 per cell]
Ag: 0.500 0.500 0.500 [1 per cell]
O: 0.500 0.500 0.000 [1 per cell]
F: 0.000 0.500 0.500 [2 per cell]

Calculated values
The calculation puts the energy relative to the elements, uncorrected at -1.76 eV/atom. Its crystal system is tetragonal. The magnetization comes out at 0.03 Bohr magnetons per cell. For the total energy, the calculation gives -25.30 eV for the cell shown. The density of states at the Fermi level is 1.0377 states/eV per atom. Its offset from the most stable computed form is 648 meV/atom.